# 1
The following is a GGA-PBE calculation of crystalline Hf2ZrNi2As4Pd2 at its relaxed geometry, from the Open Quantum Materials Database.

The structure in POSCAR format:
```
Hf2ZrNi2As4Pd2
1.0
-3.309 5.079 2.549
-3.160 -1.053 -2.003
-2.119 -4.386 5.650
As Pd Zr Ni Hf
4 2 1 2 2
Direct
0.748 0.000 0.094 As
0.252 0.000 0.362 As
0.752 0.500 0.646 As
0.243 0.500 0.893 As
0.843 0.000 0.439 Pd
0.142 0.500 0.567 Pd
0.467 0.000 0.695 Zr
0.619 0.500 0.949 Ni
0.374 0.000 0.060 Ni
0.024 0.500 0.180 Hf
0.538 0.500 0.310 Hf
```

Properties
size of the total moment	0.0	μB/f.u.
E above lowest polymorph	5	meV/atom


# 2
The following is a GGA-PBE calculation of crystalline NaPmSeO at its relaxed geometry, from the Open Quantum Materials Database.

The structure in POSCAR format:
```
NaPmSeO
1.0
-2.980 -4.030 -4.715
-0.483 -5.616 5.105
-5.268 2.925 2.720
Na Se O Pm
4 4 4 4
Direct
0.904 0.267 0.011 Na
0.096 0.767 0.489 Na
0.096 0.733 0.989 Na
0.904 0.233 0.511 Na
0.197 0.074 0.832 Se
0.803 0.574 0.668 Se
0.197 0.426 0.332 Se
0.803 0.926 0.168 Se
0.401 0.842 0.394 O
0.599 0.158 0.606 O
0.599 0.342 0.106 O
0.401 0.658 0.894 O
0.448 0.122 0.268 Pm
0.552 0.622 0.232 Pm
0.552 0.878 0.732 Pm
0.448 0.378 0.768 Pm
```

Properties
size of the total moment	0.0	μB/f.u.
E above lowest polymorph	43	meV/atom


# 3
The following is a GGA-PBE calculation of crystalline Dy3In3NiIr2 at its relaxed geometry, from the Open Quantum Materials Database.

The structure in POSCAR format:
```
Dy3In3NiIr2
1.0
-3.279 -6.043 3.113
6.056 -0.852 -4.422
2.276 0.337 3.052
In Dy Ni Ir
3 3 1 2
Direct
0.000 0.249 0.500 In
0.751 0.751 0.500 In
0.249 0.000 0.500 In
0.412 0.412 0.000 Dy
0.000 0.588 0.000 Dy
0.588 0.000 0.000 Dy
0.000 0.000 0.000 Ni
0.333 0.667 0.500 Ir
0.667 0.333 0.500 Ir
```

Properties
DFT total energy	-51.32	eV for the cell shown
size of the total moment	0.0	μB/f.u.


# 4
The following is a GGA-PBE calculation of crystalline RbAg3MoS4 at its relaxed geometry, from the Open Quantum Materials Database.

The structure in POSCAR format:
```
RbAg3MoS4
1.0
-0.986 -5.673 2.592
2.704 1.976 5.353
-5.620 1.945 2.121
Mo S Ag Rb
1 4 3 1
Direct
0.000 0.000 0.000 Mo
0.213 0.213 0.787 S
0.787 0.213 0.213 S
0.213 0.787 0.213 S
0.787 0.787 0.787 S
0.500 0.000 0.000 Ag
0.000 0.000 0.500 Ag
0.000 0.500 0.000 Ag
0.500 0.500 0.500 Rb
```

Properties
DFT total energy	-40.10	eV for the cell shown
size of the total moment	2.0	μB/f.u.


# 5
The following is a GGA-PBE calculation of crystalline Zr4CuSnC2 at its relaxed geometry, from the Open Quantum Materials Database.

The structure in POSCAR format:
```
Zr4CuSnC2
1.0
-3.108 0.994 0.766
0.507 -2.078 -2.581
-1.414 -11.096 8.652
Cu Zr C Sn
1 4 2 1
Direct
0.333 0.667 0.500 Cu
0.667 0.333 0.647 Zr
0.667 0.333 0.353 Zr
0.333 0.667 0.173 Zr
0.333 0.667 0.827 Zr
0.000 0.000 0.739 C
0.000 0.000 0.261 C
0.667 0.333 0.000 Sn
```

Properties
DFT total energy	-65.01	eV for the cell shown
size of the total moment	0.3	μB/f.u.


# 6
The following is a GGA-PBE calculation of crystalline Nd3Mg3CdIn2 at its relaxed geometry, from the Open Quantum Materials Database.

The structure in POSCAR format:
```
Nd3Mg3CdIn2
1.0
-5.006 -5.016 -3.001
1.246 0.117 7.594
-3.505 3.183 0.526
In Nd Mg Cd
2 3 3 1
Direct
0.333 0.667 0.500 In
0.667 0.333 0.500 In
0.422 0.422 0.000 Nd
0.000 0.578 0.000 Nd
0.578 0.000 0.000 Nd
0.000 0.239 0.500 Mg
0.239 0.000 0.500 Mg
0.761 0.761 0.500 Mg
0.000 0.000 0.000 Cd
```

Properties
DFT total energy	-28.82	eV for the cell shown
size of the total moment	0.0	μB/f.u.